## NbAs2O (PBEsol)

Data for a relaxed structure of NbAs2O.

Results
raw total energy	-6.51	eV per atom
calculated volume	248.71	Å³/cell
DOS(E_F)	2.6	states/eV/f.u.
raw formation energy	0.07	eV per atom

Cell lengths 6.1685, 6.1685, 6.5365 Å; angles 90.00, 90.00, 90.00 degrees
With the nearest neighbours (Å) after each atom.
Space group I-42d (No. 122)
Unique sites:
Nb (0.0000, 0.0000, 0.0000) (multiplicity 4)  4 As 2.65
As (0.1771, 0.7500, 0.6250) (multiplicity 8)  2 O 2.06
O (0.0000, 0.0000, 0.5000) (multiplicity 4)  4 As 2.06